Record 1
Material: EuNpGa4
Method: DFT, PBE-GGA
State: optimized geometry

Results
Calculated formation energy   -0.24 eV/atom

Cell: 7.8927 7.8927 7.8927 Å, 90.00 90.00 90.00°
Space group F-43m (No. 216)
Asymmetric unit:
Eu  0.0000  0.0000  0.0000 x4
Np  0.2500  0.2500  0.7500 x4
Ga  0.1244  0.1244  0.3756 x16



Record 2
Material: Eu3Ga5O12
Method: DFT, PBE-GGA
State: optimized geometry

Results
Formation energy from raw total energies   -2.218 eV/atom

Cell: 12.5824 12.5824 12.5824 Å, 90.00 90.00 90.00°
Space group Ia-3d (No. 230)
Asymmetric unit:
Eu  0.0000  0.2500  0.1250 x24
Ga  0.0000  0.0000  0.0000 x16
Ga  0.0000  0.2500  0.3750 x24
O  0.0292  0.0531  0.6491 x96



Record 3
Material: Eu3GaO
Method: DFT, PBE-GGA
State: optimized geometry

Results
Formation energy from raw total energies   -1.297 eV/atom

Cell: 4.9870 4.9870 4.9870 Å, 90.00 90.00 90.00°
Space group Pm-3m (No. 221)
Asymmetric unit:
Eu  0.0000  0.0000  0.5000 x3
Ga  0.5000  0.5000  0.5000 x1
O  0.0000  0.0000  0.0000 x1



Record 4
Material: Eu2GaO
Method: DFT, PBE-GGA
State: optimized geometry

Results
Formation energy from raw total energies   -1.193 eV/atom
E above lowest polymorph   39 meV per atom

Cell: 3.5667 3.5667 27.3610 Å, 90.00 90.00 120.00°
Space group R-3m (No. 166, hexagonal axes)
Asymmetric unit:
Eu  0.0000  0.0000  0.1143 x6
Ga  0.0000  0.0000  0.0000 x3
O  0.0000  0.0000  0.5000 x3



Record 5
Material: Eu2GaO
Method: DFT, PBE-GGA
State: optimized geometry

Results
Formation energy from raw total energies   -1.231 eV/atom
E above lowest polymorph   0 meV per atom

Cell: 3.1893 3.1893 7.8746 Å, 90.00 90.00 90.00°
Space group P4/mmm (No. 123)
Asymmetric unit:
Eu  0.0000  0.0000  0.1950 x2
Ga  0.5000  0.5000  0.5000 x1
O  0.5000  0.5000  0.0000 x1



Record 6
Material: EuGaSnSbO6
Method: DFT, PBE-GGA
State: optimized geometry

Results
Formation energy from raw total energies   -1.721 eV/atom

Cell: 8.0045 8.0045 8.0045 Å, 90.00 90.00 90.00°
Space group F-43m (No. 216)
Asymmetric unit:
Eu  0.0000  0.0000  0.0000 x4
Ga  0.2500  0.2500  0.7500 x4
Sn  0.0000  0.0000  0.5000 x4
Sb  0.2500  0.2500  0.2500 x4
O  0.0008  0.2500  0.7500 x24